DFT (PBE) results for a relaxed structure of AcCd2.

For the density of states at the Fermi level, the calculation gives 0.85 states/eV per atom. Its formation energy is -0.60 eV per formula unit.

Cell: 3.775 3.775 12.442 Å, 90.00 90.00 90.00°
Space group I4/mmm (No. 139)
Inequivalent atoms, fractional coordinates:
Ac  0.000  0.000  0.000 (multiplicity 2)
Cd  0.000  0.000  0.314 (multiplicity 4)

DFT (PBE) results for a relaxed structure of Ac3Cd.

For the density of states at the Fermi level, the calculation gives 1.29 states/eV per atom. Its formation energy is -0.18 eV per formula unit.

Cell: 5.292 5.292 10.972 Å, 90.00 90.00 90.00°
Space group I4/mmm (No. 139)
Inequivalent atoms, fractional coordinates:
Ac  0.000  0.000  0.000 (multiplicity 2)
Ac  0.000  0.500  0.250 (multiplicity 4)
Cd  0.000  0.000  0.500 (multiplicity 2)

DFT (PBE) results for a relaxed structure of AcCd5.

For the density of states at the Fermi level, the calculation gives 0.36 states/eV per atom. Its formation energy is -0.92 eV per formula unit.

Cell: 5.095 12.430 5.083 Å, 90.00 90.00 90.00°
Space group Cmmm (No. 65)
Inequivalent atoms, fractional coordinates:
Ac  0.000  0.000  0.000 (multiplicity 2)
Cd  0.000  0.179  0.500 (multiplicity 4)
Cd  0.000  0.316  0.000 (multiplicity 4)
Cd  0.000  0.500  0.500 (multiplicity 2)

DFT (PBE) results for a relaxed structure of Ac2Cd.

For the density of states at the Fermi level, the calculation gives 1.21 states/eV per atom. Its formation energy is -0.59 eV per formula unit.

Cell: 4.056 4.056 13.774 Å, 90.00 90.00 90.00°
Space group P4/mmm (No. 123)
Inequivalent atoms, fractional coordinates:
Ac  0.000  0.000  0.000 (multiplicity 1)
Ac  0.000  0.000  0.297 (multiplicity 2)
Ac  0.500  0.500  0.500 (multiplicity 1)
Cd  0.500  0.500  0.150 (multiplicity 2)

Which formula does entry 3 have?
AcCd5